Hf2Cd PBE optimized geometry; space-group type = Fd-3m
1.0
0.000 4.074 4.074
4.074 0.000 4.074
4.074 4.074 0.000
Cd Hf
2 4
Direct
0.000 0.000 0.000 Cd
0.250 0.250 0.250 Cd
0.625 0.625 0.125 Hf
0.625 0.125 0.625 Hf
0.125 0.625 0.625 Hf
0.625 0.625 0.625 Hf


Hf3Cd PBE optimized geometry; space-group type = P4mm
1.0
-2.224 -2.121 -0.607
2.203 -2.177 -0.465
-0.304 -2.151 8.629
Cd Hf
1 3
Direct
0.500 0.500 0.980 Cd
0.000 0.000 0.235 Hf
0.500 0.500 0.481 Hf
0.000 0.000 0.728 Hf


Calculated energy relative to the elements in order - 0.38, -0.05 eV/atom
Calculated E in order - -6.555, -7.737 eV/atom